a) VASP calculation (PBE-GGA) on a relaxed structure of VZnAg.

Computed properties:
DOS(E_F), states/eV/f.u.: 1.7
Symmetry: I4mm, No. 107
Mass density, g cm⁻³: 8.2
M_tot, μB per formula unit: 0.000

a = 2.7733 Å, b = 2.7733 Å, c = 6.2212 Å
α = 102.88°, β = 102.88°, γ = 90.00°
Fractional positions:
Zn 0.6605 0.6605 0.3209
Ag 0.3315 0.3315 0.6630
V 0.0080 0.0080 0.0161

---

b) VASP calculation (PBE-GGA) on a relaxed structure of VZnAg.

Computed properties:
DOS(E_F), states/eV/f.u.: 1.5
Symmetry: Fmmm, No. 69
Mass density, g cm⁻³: 7.6
M_tot, μB per formula unit: 0.000

a = 5.2991 Å, b = 4.3434 Å, c = 5.9886 Å
α = 74.34°, β = 63.74°, γ = 52.41°
Fractional positions:
Ag 0.7500 0.5000 0.5000
Ag 0.2500 0.5000 0.5000
V 0.8627 0.2746 0.0000
V 0.1373 0.7254 0.0000
Zn 0.6105 0.0000 0.7790
Zn 0.3895 0.0000 0.2210

---

Relative energies in meV per atom: a) 0; b) 171

---

a) VASP calculation (PBE-GGA) on a relaxed structure of ZrV2Ag.

Computed properties:
DOS(E_F), states/eV/f.u.: 5.5
Symmetry: Fm-3m, No. 225
Mass density, g cm⁻³: 7.5
M_tot, μB per formula unit: 0.000

a = 4.5493 Å, b = 4.5493 Å, c = 4.5493 Å
α = 60.00°, β = 60.00°, γ = 60.00°
Fractional positions:
Ag 0.5000 0.5000 0.5000
Zr 0.0000 0.0000 0.0000
V 0.2500 0.2500 0.2500
V 0.7500 0.7500 0.7500

---

b) VASP calculation (PBE-GGA) on a relaxed structure of ZrV2Ag.

Computed properties:
DOS(E_F), states/eV/f.u.: 6.1
Symmetry: I-42d, No. 122
Mass density, g cm⁻³: 6.9
M_tot, μB per formula unit: 1.002

a = 3.8659 Å, b = 3.8659 Å, c = 10.1013 Å
α = 78.97°, β = 78.97°, γ = 90.00°
Site moments in Bohr magnetons follow the coordinates.
Fractional positions:
Ag 0.0000 0.0000 0.0000  0.02
Ag 0.7500 0.2500 0.5000  0.02
Zr 0.5000 0.5000 0.0000  0.03
Zr 0.2500 0.7500 0.5000  0.03
V 0.6131 0.1250 0.2500  0.42
V 0.1369 0.6250 0.2500  0.42
V 0.3750 0.3869 0.7500  0.42
V 0.8750 0.8631 0.7500  0.42

---

Relative energies in meV per atom: a) 0; b) 243

---

a) VASP calculation (PBE-GGA) on a relaxed structure of Zr3VAg.

Computed properties:
DOS(E_F), states/eV/f.u.: 7.0
Symmetry: Pm-3m, No. 221
Mass density, g cm⁻³: 6.2
M_tot, μB per formula unit: 0.000

a = 4.8771 Å, b = 4.8771 Å, c = 4.8771 Å
α = 90.00°, β = 90.00°, γ = 90.00°
Fractional positions:
Ag 0.5000 0.5000 0.5000
Zr 0.0000 0.5000 0.0000
Zr 0.0000 0.0000 0.5000
Zr 0.5000 0.0000 0.0000
V 0.0000 0.0000 0.0000

---

b) VASP calculation (PBE-GGA) on a relaxed structure of Zr3VAg.

Computed properties:
DOS(E_F), states/eV/f.u.: 8.0
Symmetry: Pm-3m, No. 221
Mass density, g cm⁻³: 5.3
M_tot, μB per formula unit: 3.954

a = 5.1280 Å, b = 5.1280 Å, c = 5.1280 Å
α = 90.00°, β = 90.00°, γ = 90.00°
Site moments in Bohr magnetons follow the coordinates.
Fractional positions:
Ag 0.0000 0.0000 0.0000  0.03
Zr 0.0000 0.5000 0.0000  0.06
Zr 0.0000 0.0000 0.5000  0.06
Zr 0.5000 0.0000 0.0000  0.06
V 0.5000 0.5000 0.5000  2.70

---

Relative energies in meV per atom: a) 0; b) 598

---

a) VASP calculation (PBE-GGA) on a relaxed structure of AgW4.

Computed properties:
DOS(E_F), states/eV/f.u.: 3.9
Symmetry: I4/mmm, No. 139
Mass density, g cm⁻³: 14.2
M_tot, μB per formula unit: 0.000

a = 6.3970 Å, b = 6.3970 Å, c = 6.3970 Å
α = 141.93°, β = 141.93°, γ = 54.94°
Fractional positions:
Ag 0.0000 0.0000 0.0000
W 0.7500 0.2500 0.5000
W 0.3828 0.3828 0.0000
W 0.6172 0.6172 0.0000
W 0.2500 0.7500 0.5000

---

b) VASP calculation (PBE-GGA) on a relaxed structure of AgW4.

Computed properties:
DOS(E_F), states/eV/f.u.: 4.2
Symmetry: I4/m, No. 87
Mass density, g cm⁻³: 17.0
M_tot, μB per formula unit: 0.000

a = 4.8673 Å, b = 4.8673 Å, c = 4.8673 Å
α = 101.59°, β = 101.59°, γ = 126.75°
Fractional positions:
Ag 0.0000 0.0000 0.0000
W 0.4117 0.2017 0.6134
W 0.5883 0.7983 0.3866
W 0.7983 0.4117 0.2100
W 0.2017 0.5883 0.7900

---

c) VASP calculation (PBE-GGA) on a relaxed structure of AgW4.

Computed properties:
DOS(E_F), states/eV/f.u.: 8.5
Symmetry: Pm-3m, No. 221
Mass density, g cm⁻³: 13.5
M_tot, μB per formula unit: 0.000

a = 4.6945 Å, b = 4.6945 Å, c = 4.6945 Å
α = 90.00°, β = 90.00°, γ = 90.00°
Fractional positions:
W 0.0000 0.0000 0.0000
W 0.5000 0.0000 0.5000
W 0.0000 0.5000 0.5000
W 0.5000 0.5000 0.0000
Ag 0.5000 0.5000 0.5000

---

Relative energies in meV per atom: a) 512; b) 0; c) 2521

---

a) VASP calculation (PBE-GGA) on a relaxed structure of Ag2W.

Computed properties:
DOS(E_F), states/eV/f.u.: 2.2
Symmetry: Pa-3, No. 205
Mass density, g cm⁻³: 10.4
M_tot, μB per formula unit: 0.000

a = 6.3463 Å, b = 6.3463 Å, c = 6.3463 Å
α = 90.00°, β = 90.00°, γ = 90.00°
Fractional positions:
Ag 0.1258 0.6258 0.8742
Ag 0.1258 0.8742 0.3742
Ag 0.3742 0.1258 0.8742
Ag 0.3742 0.3742 0.3742
Ag 0.6258 0.6258 0.6258
Ag 0.6258 0.8742 0.1258
Ag 0.8742 0.1258 0.6258
Ag 0.8742 0.3742 0.1258
W 0.0000 0.0000 0.0000
W 0.0000 0.5000 0.5000
W 0.5000 0.0000 0.5000
W 0.5000 0.5000 0.0000

---

b) VASP calculation (PBE-GGA) on a relaxed structure of Ag2W.

Computed properties:
DOS(E_F), states/eV/f.u.: 1.4
Symmetry: I4_1/amd, No. 141
Mass density, g cm⁻³: 12.7
M_tot, μB per formula unit: 0.000

a = 14.2235 Å, b = 14.2235 Å, c = 14.2235 Å
α = 169.02°, β = 169.02°, γ = 15.56°
Fractional positions:
Ag 0.4201 0.4201 0.0000
Ag 0.5799 0.5799 0.0000
Ag 0.1701 0.6701 0.5000
Ag 0.3299 0.8299 0.5000
W 0.7500 0.2500 0.5000
W 0.0000 0.0000 0.0000

---

c) VASP calculation (PBE-GGA) on a relaxed structure of Ag2W.

Computed properties:
DOS(E_F), states/eV/f.u.: 3.2
Symmetry: Fd-3m, No. 227
Mass density, g cm⁻³: 12.9
M_tot, μB per formula unit: 0.000

a = 5.2593 Å, b = 5.2593 Å, c = 5.2593 Å
α = 60.00°, β = 60.00°, γ = 60.00°
Fractional positions:
Ag 0.1250 0.6250 0.1250
Ag 0.1250 0.1250 0.6250
Ag 0.6250 0.1250 0.1250
Ag 0.1250 0.1250 0.1250
W 0.7500 0.7500 0.7500
W 0.5000 0.5000 0.5000

---

Relative energies in meV per atom: a) 1272; b) 0; c) 425

---

a) VASP calculation (PBE-GGA) on a relaxed structure of Ag2W.

Computed properties:
DOS(E_F), states/eV/f.u.: 0.8
Symmetry: Cmcm, No. 63
Mass density, g cm⁻³: 12.6
M_tot, μB per formula unit: 0.000

a = 7.1255 Å, b = 7.1255 Å, c = 3.3272 Å
α = 90.00°, β = 90.00°, γ = 141.35°
Fractional positions:
Ag 0.5846 0.4154 0.7500
Ag 0.4154 0.5846 0.2500
Ag 0.2480 0.7520 0.7500
Ag 0.7520 0.2480 0.2500
W 0.9321 0.0679 0.7500
W 0.0679 0.9321 0.2500

---

b) VASP calculation (PBE-GGA) on a relaxed structure of Ag2W.

Computed properties:
DOS(E_F), states/eV/f.u.: 1.9
Symmetry: Cm, No. 8
Mass density, g cm⁻³: 12.9
M_tot, μB per formula unit: 0.000

a = 5.7521 Å, b = 5.7521 Å, c = 7.0571 Å
α = 74.91°, β = 74.91°, γ = 27.27°
Fractional positions:
Ag 0.0058 0.0058 0.9963
Ag 0.6114 0.6114 0.2838
Ag 0.3396 0.3396 0.3277
Ag 0.6622 0.6622 0.6604
W 0.9324 0.9324 0.6281
W 0.2819 0.2819 0.9372

---

Relative energies in meV per atom: a) 0; b) 31

---

a) VASP calculation (PBE-GGA) on a relaxed structure of YAgW.

Computed properties:
DOS(E_F), states/eV/f.u.: 2.3
Symmetry: P3m1, No. 156
Mass density, g cm⁻³: 10.5
M_tot, μB per formula unit: 0.000

a = 3.0044 Å, b = 3.0044 Å, c = 7.6887 Å
α = 90.00°, β = 90.00°, γ = 120.00°
Fractional positions:
Ag 0.0000 0.0000 0.0145
W 0.6667 0.3333 0.3243
Y 0.3333 0.6667 0.6611

---

b) VASP calculation (PBE-GGA) on a relaxed structure of YAgW.

Computed properties:
DOS(E_F), states/eV/f.u.: 3.5
Symmetry: F-43m, No. 216
Mass density, g cm⁻³: 8.1
M_tot, μB per formula unit: 3.271

a = 4.7881 Å, b = 4.7881 Å, c = 4.7881 Å
α = 60.00°, β = 60.00°, γ = 60.00°
Site moments in Bohr magnetons follow the coordinates.
Fractional positions:
Ag 0.0000 0.0000 0.0000  0.04
W 0.5000 0.5000 0.5000  2.28
Y 0.7500 0.7500 0.7500  0.30

---

Relative energies in meV per atom: a) 0; b) 887

---

a) VASP calculation (PBE-GGA) on a relaxed structure of YAgW2.

Computed properties:
DOS(E_F), states/eV/f.u.: 3.5
Symmetry: Pm, No. 6
Mass density, g cm⁻³: 12.1
M_tot, μB per formula unit: 0.000

a = 4.3172 Å, b = 2.9168 Å, c = 6.4705 Å
α = 72.46°, β = 90.00°, γ = 90.00°
Fractional positions:
Ag 0.5000 0.7602 0.7638
W 0.0000 0.0701 0.0255
W 0.5000 0.2270 0.2136
Y 0.0000 0.4427 0.4970

---

b) VASP calculation (PBE-GGA) on a relaxed structure of YAgW2.

Computed properties:
DOS(E_F), states/eV/f.u.: 2.1
Symmetry: R3m, No. 160
Mass density, g cm⁻³: 12.5
M_tot, μB per formula unit: 0.000

a = 10.4667 Å, b = 10.4667 Å, c = 10.4667 Å
α = 15.91°, β = 15.91°, γ = 15.91°
Fractional positions:
Ag 0.7449 0.7449 0.7449
W 0.9991 0.9991 0.9991
W 0.2554 0.2554 0.2554
Y 0.5006 0.5006 0.5006

---

Relative energies in meV per atom: a) 0; b) 201

---

a) VASP calculation (PBE-GGA) on a relaxed structure of YAgW2.

Computed properties:
DOS(E_F), states/eV/f.u.: 2.7
Symmetry: Immm, No. 71
Mass density, g cm⁻³: 12.2
M_tot, μB per formula unit: 0.000

a = 5.8946 Å, b = 5.8946 Å, c = 5.8946 Å
α = 149.14°, β = 132.70°, γ = 57.55°
Fractional positions:
Ag 0.7500 0.2500 0.5000
W 0.9895 0.9895 0.0000
W 0.5105 0.5105 0.0000
Y 0.2500 0.7500 0.5000

---

b) VASP calculation (PBE-GGA) on a relaxed structure of YAgW2.

Computed properties:
DOS(E_F), states/eV/f.u.: 1.5
Symmetry: Pmmm, No. 47
Mass density, g cm⁻³: 12.1
M_tot, μB per formula unit: 0.000

a = 2.7888 Å, b = 4.9918 Å, c = 5.5760 Å
α = 90.00°, β = 90.00°, γ = 90.00°
Fractional positions:
Ag 0.5000 0.5000 0.7500
W 0.0000 0.0000 0.0138
W 0.0000 0.0000 0.4862
Y 0.5000 0.5000 0.2500

---

Relative energies in meV per atom: a) 0; b) 164

---

a) VASP calculation (PBE-GGA) on a relaxed structure of YAgW2.

Computed properties:
DOS(E_F), states/eV/f.u.: 2.9
Symmetry: P2/m, No. 10
Mass density, g cm⁻³: 12.2
M_tot, μB per formula unit: 0.000

a = 5.1713 Å, b = 2.8696 Å, c = 5.1889 Å
α = 83.99°, β = 90.00°, γ = 90.00°
Fractional positions:
Ag 0.5000 0.7500 0.7500
W 0.0000 0.9192 0.0076
W 0.0000 0.5808 0.4924
Y 0.5000 0.2500 0.2500

---

b) VASP calculation (PBE-GGA) on a relaxed structure of YAgW2.

Computed properties:
DOS(E_F), states/eV/f.u.: 2.3
Symmetry: P4/mmm, No. 123
Mass density, g cm⁻³: 12.2
M_tot, μB per formula unit: 0.000

a = 4.8835 Å, b = 3.9603 Å, c = 3.9603 Å
α = 90.00°, β = 90.00°, γ = 90.00°
Fractional positions:
Ag 0.5000 0.0000 0.5000
W 0.0000 0.0000 0.0000
W 0.0000 0.5000 0.5000
Y 0.5000 0.5000 0.0000

---

c) VASP calculation (PBE-GGA) on a relaxed structure of YAgW2.

Computed properties:
DOS(E_F), states/eV/f.u.: 3.0
Symmetry: Imm2, No. 44
Mass density, g cm⁻³: 11.8
M_tot, μB per formula unit: 0.000

a = 5.3959 Å, b = 5.3959 Å, c = 5.3959 Å
α = 140.54°, β = 126.15°, γ = 68.77°
Fractional positions:
Ag 0.7593 0.2593 0.5000
W 0.0289 0.0289 0.0000
W 0.2237 0.7237 0.5000
Y 0.4882 0.4882 0.0000

---

Relative energies in meV per atom: a) 27; b) 13; c) 0

---

a) VASP calculation (PBE-GGA) on a relaxed structure of YAgW3.

Computed properties:
DOS(E_F), states/eV/f.u.: 6.4
Symmetry: Pm-3m, No. 221
Mass density, g cm⁻³: 11.1
M_tot, μB per formula unit: 0.000

a = 4.8239 Å, b = 4.8239 Å, c = 4.8239 Å
α = 90.00°, β = 90.00°, γ = 90.00°
Fractional positions:
Y 0.0000 0.0000 0.0000
Ag 0.5000 0.5000 0.5000
W 0.0000 0.5000 0.0000
W 0.0000 0.0000 0.5000
W 0.5000 0.0000 0.0000

---

b) VASP calculation (PBE-GGA) on a relaxed structure of YAgW3.

Computed properties:
DOS(E_F), states/eV/f.u.: 10.0
Symmetry: Pm-3m, No. 221
Mass density, g cm⁻³: 10.7
M_tot, μB per formula unit: 0.000

a = 4.8724 Å, b = 4.8724 Å, c = 4.8724 Å
α = 90.00°, β = 90.00°, γ = 90.00°
Fractional positions:
Y 0.5000 0.5000 0.5000
Ag 0.0000 0.0000 0.0000
W 0.0000 0.5000 0.0000
W 0.0000 0.0000 0.5000
W 0.5000 0.0000 0.0000

---

Relative energies in meV per atom: a) 730; b) 0

---

a) VASP calculation (PBE-GGA) on a relaxed structure of Zn2AgW.

Computed properties:
DOS(E_F), states/eV/f.u.: 3.0
Symmetry: Pmmm, No. 47
Mass density, g cm⁻³: 11.0
M_tot, μB per formula unit: 0.003

a = 2.8822 Å, b = 4.8607 Å, c = 4.5507 Å
α = 90.00°, β = 90.00°, γ = 90.00°
Fractional positions:
Ag 0.5000 0.0000 0.5000
W 0.0000 0.5000 0.5000
Zn 0.0000 0.0000 0.0000
Zn 0.5000 0.5000 0.0000

---

b) VASP calculation (PBE-GGA) on a relaxed structure of Zn2AgW.

Computed properties:
DOS(E_F), states/eV/f.u.: 1.5
Symmetry: Cmmm, No. 65
Mass density, g cm⁻³: 11.2
M_tot, μB per formula unit: 0.000

a = 6.4241 Å, b = 4.9858 Å, c = 2.6478 Å
α = 89.95°, β = 65.74°, γ = 122.35°
Fractional positions:
Ag 0.0000 0.5000 0.5000
W 0.5000 0.5000 0.0000
Zn 0.0000 0.0000 0.0000
Zn 0.5000 0.0000 0.5000

---

c) VASP calculation (PBE-GGA) on a relaxed structure of Zn2AgW.

Computed properties:
DOS(E_F), states/eV/f.u.: 3.2
Symmetry: I-4m2, No. 119
Mass density, g cm⁻³: 11.2
M_tot, μB per formula unit: 0.468

a = 5.0238 Å, b = 5.0238 Å, c = 5.0238 Å
α = 134.82°, β = 134.82°, γ = 65.81°
Site moments in Bohr magnetons follow the coordinates.
Fractional positions:
Ag 0.5000 0.5000 0.0000  0.04
W 0.7500 0.2500 0.5000  0.34
Zn 0.0000 0.0000 0.0000  0.01
Zn 0.2500 0.7500 0.5000  0.00

---

d) VASP calculation (PBE-GGA) on a relaxed structure of Zn2AgW.

Computed properties:
DOS(E_F), states/eV/f.u.: 3.4
Symmetry: R-3m, No. 166
Mass density, g cm⁻³: 11.1
M_tot, μB per formula unit: 0.000

a = 9.2475 Å, b = 9.2475 Å, c = 9.2475 Å
α = 17.63°, β = 17.63°, γ = 17.63°
Fractional positions:
Ag 0.2500 0.2500 0.2500
W 0.7500 0.7500 0.7500
Zn 0.0008 0.0008 0.0008
Zn 0.4992 0.4992 0.4992

---

Relative energies in meV per atom: a) 294; b) 75; c) 369; d) 0